Density functional theory data (GGA-PBE) for crystalline Tb5Pr6Ho at its relaxed geometry.

Output
* total magnetization: 0.00 μB/f.u.
* total DFT energy (no corrections): -56.28 eV for the cell shown
* SG: C2/m
* ΔE_f: 0.01 eV/atom

Unit cell a=11.9248 b=6.3172 c=6.3181 alpha=60.00 beta=84.95 gamma=79.85
Sites, in units of the cell vectors:
Tb: 0.5000 0.1667 0.6666
Tb: 0.0000 0.3334 0.3332
Tb: 0.5000 0.5000 0.0000
Tb: 0.0000 0.6666 0.6668
Tb: 0.5000 0.8333 0.3334
Pr: 0.7504 0.0829 0.3331
Pr: 0.2496 0.5840 0.3331
Pr: 0.2499 0.2501 0.0000
Pr: 0.7501 0.7499 0.0000
Pr: 0.7504 0.4160 0.6669
Pr: 0.2496 0.9171 0.6669
Ho: 0.0000 0.0000 0.0000